Run A
A plane-wave DFT calculation with PBE was carried out for TbSiHO4 after structural relaxation.

Values from the calculation:
Theoretical density   5.82 g/cm3
Magnetization   0.00 μB per atom

Lattice parameters (Å, degrees): 4.4733 6.6628 4.8593 90.00 96.97 90.00
With the nearest neighbours (Å) after each atom.
Fractional coordinates of all 14 atoms:
Tb: 0.0719 0.2500 0.1990  6 O 2.24-2.45
Tb: 0.9281 0.7500 0.8010  6 O 2.24-2.45
Si: 0.4329 0.7500 0.3084  4 O 1.60-1.67
Si: 0.5671 0.2500 0.6916  4 O 1.60-1.67
H: 0.5000 0.0000 0.0000  2 O 1.22
H: 0.5000 0.5000 0.0000  2 O 1.22
O: 0.2038 0.2500 0.6903  1 Si 1.62
O: 0.2880 0.5575 0.1161  1 H 1.22
O: 0.2880 0.9425 0.1161  1 H 1.22
O: 0.3675 0.7500 0.6249  1 Si 1.60
O: 0.6325 0.2500 0.3751  1 Si 1.60
O: 0.7120 0.0575 0.8839  1 H 1.22
O: 0.7120 0.4425 0.8839  1 H 1.22
O: 0.7962 0.7500 0.3097  1 Si 1.62



Run B
A plane-wave DFT calculation with PBE was carried out for TbSiHO4 after structural relaxation.

Values from the calculation:
Theoretical density   5.53 g/cm3
Magnetization   0.00 μB per atom

Lattice parameters (Å, degrees): 9.7276 7.0367 4.4230 90.00 90.00 90.00
With the nearest neighbours (Å) after each atom.
Fractional coordinates of all 28 atoms:
Tb: 0.0914 0.2500 0.1453  4 O 2.19-2.39
Tb: 0.4086 0.7500 0.6453  4 O 2.19-2.39
Tb: 0.5914 0.2500 0.3547  4 O 2.19-2.39
Tb: 0.9086 0.7500 0.8547  4 O 2.19-2.39
Si: 0.1507 0.7500 0.3433  4 O 1.62-1.67
Si: 0.3493 0.2500 0.8433  4 O 1.62-1.67
Si: 0.6507 0.7500 0.1567  4 O 1.62-1.67
Si: 0.8493 0.2500 0.6567  4 O 1.62-1.67
H: 0.0000 0.0000 0.5000  2 O 1.24
H: 0.0000 0.5000 0.5000  2 O 1.24
H: 0.5000 0.0000 0.0000  2 O 1.24
H: 0.5000 0.5000 0.0000  2 O 1.24
O: 0.0528 0.5622 0.2658  1 H 1.24
O: 0.0528 0.9378 0.2658  1 H 1.24
O: 0.1649 0.7500 0.7089  1 Si 1.62
O: 0.1953 0.2500 0.7053  1 Si 1.62
O: 0.3047 0.7500 0.2053  1 Si 1.62
O: 0.3351 0.2500 0.2089  1 Si 1.62
O: 0.4472 0.0622 0.7658  1 H 1.24
O: 0.4472 0.4378 0.7658  1 H 1.24
O: 0.5528 0.5622 0.2342  1 H 1.24
O: 0.5528 0.9378 0.2342  1 H 1.24
O: 0.6649 0.7500 0.7911  1 Si 1.62
O: 0.6953 0.2500 0.7947  1 Si 1.62
O: 0.8047 0.7500 0.2947  1 Si 1.62
O: 0.8351 0.2500 0.2911  1 Si 1.62
O: 0.9472 0.0622 0.7342  1 H 1.24
O: 0.9472 0.4378 0.7342  1 H 1.24



Which one sits at the top of the stability order? run A does.